# 1
DFT (SCAN) results for La5C2Br9 at its PBEsol-relaxed geometry.

POSCAR file:
```
La5C2Br9
1.0
9.848 0.000 0.000
0.000 11.203 0.000
0.000 0.000 16.453
La C Br
20 8 36
Direct
0.047 0.190 0.950
0.547 0.810 0.050
0.453 0.690 0.550
0.953 0.310 0.450
0.953 0.810 0.050
0.453 0.190 0.950
0.547 0.310 0.450
0.047 0.690 0.550
0.750 0.534 0.933
0.250 0.466 0.067
0.750 0.034 0.567
0.250 0.966 0.433
0.750 0.865 0.848
0.250 0.135 0.152
0.750 0.365 0.652
0.250 0.635 0.348
0.750 0.569 0.160
0.250 0.431 0.840
0.750 0.069 0.340
0.250 0.931 0.660
0.750 0.753 0.970
0.250 0.247 0.030
0.750 0.253 0.530
0.250 0.747 0.470
0.750 0.678 0.043
0.250 0.322 0.957
0.750 0.178 0.457
0.250 0.822 0.543
0.035 0.930 0.888
0.535 0.070 0.112
0.465 0.430 0.612
0.965 0.570 0.388
0.965 0.070 0.112
0.465 0.930 0.888
0.535 0.570 0.388
0.035 0.430 0.612
0.928 0.386 0.061
0.428 0.614 0.939
0.572 0.886 0.439
0.072 0.114 0.561
0.072 0.614 0.939
0.572 0.386 0.061
0.428 0.114 0.561
0.928 0.886 0.439
0.948 0.366 0.823
0.448 0.634 0.177
0.552 0.866 0.677
0.052 0.134 0.323
0.052 0.634 0.177
0.552 0.366 0.823
0.448 0.134 0.323
0.948 0.866 0.677
0.750 0.628 0.769
0.250 0.372 0.231
0.750 0.128 0.731
0.250 0.872 0.269
0.750 0.841 0.206
0.250 0.159 0.794
0.750 0.341 0.294
0.250 0.659 0.706
0.750 0.112 0.941
0.250 0.888 0.059
0.750 0.612 0.559
0.250 0.388 0.441
```

Computed properties:
ΔE_f (raw)   -1.895 eV/atom
V   28.36 Å³ per atom
E_tot   -27.57 eV per atom
Symmetry   Pnma

# 2
DFT (SCAN) results for LaC2Br at its PBEsol-relaxed geometry.

POSCAR file:
```
LaC2Br
1.0
4.461 0.000 0.000
2.231 3.864 0.000
2.231 1.288 3.643
C Br La
2 1 1
Direct
0.250 0.250 0.250
0.750 0.750 0.750
0.000 0.000 0.000
0.500 0.500 0.500
```

Computed properties:
ΔE_f (raw)   1.692 eV/atom
V   15.70 Å³ per atom
E_tot   -19.00 eV per atom
Symmetry   Fm-3m

# 3
DFT (SCAN) results for LaCBr2 at its PBEsol-relaxed geometry.

POSCAR file:
```
LaCBr2
1.0
-4.263 2.699 0.087
-3.340 -0.437 -3.758
-4.422 -2.293 0.808
C Br La
1 2 1
Direct
0.000 0.000 0.000
0.250 0.250 0.250
0.750 0.750 0.750
0.500 0.500 0.500
```

Computed properties:
ΔE_f (raw)   -0.110 eV/atom
V   22.72 Å³ per atom
E_tot   -23.14 eV per atom
Symmetry   Fm-3m

# 4
DFT (SCAN) results for LaPCBr2 at its PBEsol-relaxed geometry.

POSCAR file:
```
LaPCBr2
1.0
4.904 0.000 0.000
0.000 5.876 0.000
0.000 0.000 5.876
P C Br La
1 1 2 1
Direct
0.500 0.500 0.500
0.500 0.000 0.000
0.000 0.000 0.500
0.000 0.500 0.000
0.000 0.000 0.000
```

Computed properties:
ΔE_f (raw)   0.475 eV/atom
V   33.87 Å³ per atom
E_tot   -20.03 eV per atom
Symmetry   P4/mmm

# 5
DFT (SCAN) results for LaCSeBr2 at its PBEsol-relaxed geometry.

POSCAR file:
```
LaCSeBr2
1.0
-2.345 1.148 3.929
-3.939 -1.865 -1.807
1.086 -4.076 1.839
C Se Br La
1 1 2 1
Direct
0.000 0.000 0.000
0.000 0.000 0.500
0.000 0.500 0.000
0.500 0.000 0.000
0.500 0.500 0.500
```

Computed properties:
ΔE_f (raw)   -0.076 eV/atom
V   20.48 Å³ per atom
E_tot   -22.52 eV per atom
Symmetry   P4/mmm

# 6
DFT (SCAN) results for LaCSe2Br at its PBEsol-relaxed geometry.

POSCAR file:
```
LaCSe2Br
1.0
4.603 0.000 0.000
0.000 4.603 0.000
0.000 0.000 4.639
C Se Br La
1 2 1 1
Direct
0.000 0.000 0.000
0.000 0.500 0.000
0.500 0.000 0.000
0.000 0.000 0.500
0.500 0.500 0.500
```

Computed properties:
ΔE_f (raw)   -0.200 eV/atom
V   19.66 Å³ per atom
E_tot   -22.76 eV per atom
Symmetry   P4/mmm

# 7
DFT (SCAN) results for Sr2LiCBr3N2 at its PBEsol-relaxed geometry.

POSCAR file:
```
Sr2LiCBr3N2
1.0
-3.840 3.844 8.683
-3.524 -6.296 7.271
5.150 -1.063 8.790
Sr Li C Br N
8 4 4 12 8
Direct
0.903 0.903 0.903
0.347 0.347 0.347
0.959 0.347 0.347
0.903 0.291 0.903
0.347 0.959 0.347
0.347 0.347 0.959
0.291 0.903 0.903
0.903 0.903 0.291
0.125 0.625 0.625
0.625 0.125 0.625
0.625 0.625 0.625
0.625 0.625 0.125
0.125 0.125 0.125
0.125 0.125 0.625
0.125 0.625 0.125
0.625 0.125 0.125
0.554 0.946 0.946
0.304 0.696 0.696
0.946 0.554 0.554
0.696 0.696 0.304
0.946 0.554 0.946
0.554 0.946 0.554
0.696 0.304 0.304
0.304 0.304 0.696
0.696 0.304 0.696
0.554 0.554 0.946
0.304 0.696 0.304
0.946 0.946 0.554
0.076 0.076 0.076
0.174 0.478 0.174
0.174 0.174 0.478
0.772 0.076 0.076
0.076 0.076 0.772
0.174 0.174 0.174
0.076 0.772 0.076
0.478 0.174 0.174
```

Computed properties:
ΔE_f (raw)   -1.657 eV/atom
V   21.11 Å³ per atom
E_tot   -16.55 eV per atom
Symmetry   Fd-3m

# 8
DFT (SCAN) results for LiCSe2Br at its PBEsol-relaxed geometry.

POSCAR file:
```
LiCSe2Br
1.0
4.653 0.000 0.000
0.000 4.564 0.000
0.000 0.000 4.564
C Se Br Li
1 2 1 1
Direct
0.500 0.500 0.500
0.000 0.000 0.500
0.000 0.500 0.000
0.500 0.000 0.000
0.000 0.000 0.000
```

Computed properties:
ΔE_f (raw)   1.528 eV/atom
V   19.38 Å³ per atom
E_tot   -12.89 eV per atom
Symmetry   P4/mmm

What did the eighth record say?
DFT (SCAN) results for LiCSe2Br at its PBEsol-relaxed geometry.

POSCAR file:
```
LiCSe2Br
1.0
4.653 0.000 0.000
0.000 4.564 0.000
0.000 0.000 4.564
C Se Br Li
1 2 1 1
Direct
0.500 0.500 0.500
0.000 0.000 0.500
0.000 0.500 0.000
0.500 0.000 0.000
0.000 0.000 0.000
```

Computed properties:
ΔE_f (raw)   1.528 eV/atom
V   19.38 Å³ per atom
E_tot   -12.89 eV per atom
Symmetry   P4/mmm

Among the records above, which one has the lowest V?
LaC2Br